No. 1
Material: CoP2AuS
Method: DFT, SCAN
State: PBEsol geometry

Summary:
* E: -22.70 eV per atom

abc: 4.1562 4.1562 4.7483
angles: 90.00 90.00 90.00
Fractional positions:
Co1 0.0000 0.0000 0.0000
P1 0.0000 0.5000 0.0000
P2 0.5000 0.0000 0.0000
Au1 0.5000 0.5000 0.5000
S1 0.0000 0.0000 0.5000



No. 2
Material: Co2SnPAu
Method: DFT, SCAN
State: PBEsol geometry

Summary:
* E: -29.15 eV per atom

abc: 4.7207 4.7207 4.4899
angles: 90.00 90.00 90.00
Fractional positions:
Co1 0.0000 0.5000 0.0000
Co2 0.5000 0.0000 0.0000
Sn1 0.0000 0.0000 0.5000
P1 0.5000 0.5000 0.5000
Au1 0.5000 0.5000 0.0000



No. 3
Material: Co2PbAu2
Method: DFT, SCAN
State: PBEsol geometry

Summary:
* E: -49.43 eV per atom

abc: 3.2997 3.2997 16.0992
angles: 90.00 90.00 90.00
Fractional positions:
Co1 0.0000 0.5000 0.2500
Co2 0.0000 0.5000 0.7500
Co3 0.5000 0.0000 0.2500
Co4 0.5000 0.0000 0.7500
Pb1 0.0000 0.0000 0.0000
Pb2 0.5000 0.5000 0.5000
Au1 0.0000 0.0000 0.3762
Au2 0.0000 0.0000 0.6238
Au3 0.5000 0.5000 0.1238
Au4 0.5000 0.5000 0.8762